1.
Entry from Alexandria via LeMat-Bulk: a geometry-optimized TcGe3Bi structure (PBE-GGA).

abc: 4.900 4.900 4.900
angles: 90.00 90.00 90.00
Element x y z (fractional)
1 Tc 0.000 0.000 0.000
2 Ge 0.000 0.000 0.500
3 Ge 0.000 0.500 0.000
4 Ge 0.500 0.000 0.000
5 Bi 0.500 0.500 0.500

Properties
calculated formation energy: 0.336 eV per atom
space group: No. 221
N(E_F): 4.1 states/eV/cell

2.
Entry from Alexandria via LeMat-Bulk: a geometry-optimized TcGeBi structure (PBE-GGA).

abc: 3.081 3.081 13.972
angles: 90.00 90.00 90.00
Element x y z (fractional)
1 Tc 0.250 0.250 0.059
2 Tc 0.750 0.750 0.941
3 Ge 0.250 0.250 0.835
4 Ge 0.750 0.750 0.165
5 Bi 0.250 0.250 0.633
6 Bi 0.750 0.750 0.367

Properties
calculated formation energy: 0.000 eV per atom
space group: No. 129
N(E_F): 3.7 states/eV/cell

3.
Entry from Alexandria via LeMat-Bulk: a geometry-optimized Tc3GeBi structure (PBE-GGA).

abc: 4.638 4.638 4.638
angles: 90.00 90.00 90.00
Element x y z (fractional)
1 Tc 0.000 0.000 0.500
2 Tc 0.000 0.500 0.000
3 Tc 0.500 0.000 0.000
4 Ge 0.000 0.000 0.000
5 Bi 0.500 0.500 0.500

Properties
calculated formation energy: 1.098 eV per atom
space group: No. 221
N(E_F): 5.3 states/eV/cell

4.
Entry from Alexandria via LeMat-Bulk: a geometry-optimized TcGeBi3 structure (PBE-GGA).

abc: 5.302 5.302 5.302
angles: 90.00 90.00 90.00
Element x y z (fractional)
1 Tc 0.000 0.000 0.000
2 Ge 0.500 0.500 0.500
3 Bi 0.000 0.000 0.500
4 Bi 0.000 0.500 0.000
5 Bi 0.500 0.000 0.000

Properties
calculated formation energy: 0.688 eV per atom
space group: No. 221
N(E_F): 3.5 states/eV/cell

5.
Entry from Alexandria via LeMat-Bulk: a geometry-optimized TcGeBi3 structure (PBE-GGA).

abc: 5.459 5.459 5.459
angles: 90.00 90.00 90.00
Element x y z (fractional)
1 Tc 0.000 0.000 0.000
2 Ge 0.500 0.500 0.500
3 Bi 0.000 0.500 0.500
4 Bi 0.500 0.000 0.500
5 Bi 0.500 0.500 0.000

Properties
calculated formation energy: 1.322 eV per atom
space group: No. 221
N(E_F): 5.2 states/eV/cell

6.
Entry from Alexandria via LeMat-Bulk: a geometry-optimized Ge2BiTe structure (PBE-GGA).

abc: 8.712 8.712 8.712
angles: 139.04 139.04 59.31
Element x y z (fractional)
1 Ge 0.117 0.625 0.992
2 Ge 0.375 0.367 0.492
3 Ge 0.633 0.125 0.008
4 Ge 0.875 0.883 0.508
5 Bi 0.250 0.750 0.500
6 Bi 0.500 0.500 0.000
7 Te 0.000 0.000 0.000
8 Te 0.750 0.250 0.500

Properties
space group: No. 122
E_form (uncorrected): 276 meV per atom
N(E_F): 2.7 states/eV/cell

Repeat the fifth record exactly.
Entry from Alexandria via LeMat-Bulk: a geometry-optimized TcGeBi3 structure (PBE-GGA).

abc: 5.459 5.459 5.459
angles: 90.00 90.00 90.00
Element x y z (fractional)
1 Tc 0.000 0.000 0.000
2 Ge 0.500 0.500 0.500
3 Bi 0.000 0.500 0.500
4 Bi 0.500 0.000 0.500
5 Bi 0.500 0.500 0.000

Properties
calculated formation energy: 1.322 eV per atom
space group: No. 221
N(E_F): 5.2 states/eV/cell

- What is the N(E_F) in the sixth record?
  2.7 states/eV/cell